1.
Below is crystalline TlHRhW2 at its relaxed geometry, with properties calculated at the PBEsol level.

Lattice parameters (Å, degrees): 3.0336 5.1578 5.1578 90.00 90.00 90.00
Atoms (fractional coordinates):
Tl: 0.0000 0.0000 0.0000
W: 0.0000 0.5000 0.0000
Rh: 0.5000 0.5000 0.5000
H: 0.5000 0.0000 0.0000
W: 0.0000 0.0000 0.5000

Symmetry: P4/mmm, No. 123
M_tot, Bohr magnetons per cell: 0.00
DFT total energy, eV per atom: -6.276

---

2.
Below is crystalline MnAlBr2 at its relaxed geometry, with properties calculated at the PBEsol level.

Lattice parameters (Å, degrees): 5.2949 6.8851 6.8851 81.50 67.39 67.39
Last column: magnetic moment on the atom in μB.
Atoms (fractional coordinates):
Al: 0.2500 0.5000 0.5000  -0.03
Br: 0.8750 0.3596 0.1404  0.07
Br: 0.9846 0.1404 0.6404  0.07
Mn: 0.0000 0.0000 0.0000  3.73
Al: 0.5000 0.0000 0.0000  -0.03
Br: 0.7654 0.8596 0.3596  0.07
Mn: 0.7500 0.5000 0.5000  3.73
Br: 0.3750 0.6404 0.8596  0.07

Energy relative to the lowest polymorph listed for this composition, meV/atom: 309
Symmetry: I-42d, No. 122
M_tot, Bohr magnetons per cell: 8.01
DFT total energy, eV per atom: -4.399
Energy relative to the elements, uncorrected, meV/atom: -1

---

3.
Below is crystalline AgRhAu2 at its relaxed geometry, with properties calculated at the PBEsol level.

Lattice parameters (Å, degrees): 2.8125 2.8125 9.4094 81.40 81.40 60.00
Atoms (fractional coordinates):
Rh: 0.5000 0.5000 0.5000
Au: 0.2481 0.2481 0.2558
Ag: 0.0000 0.0000 0.0000
Au: 0.7519 0.7519 0.7442

DFT formation energy, eV per formula unit: 0.35
Energy relative to the lowest polymorph listed for this composition, meV/atom: 0
Symmetry: R-3m, No. 166
M_tot, Bohr magnetons per cell: 0.03
DFT total energy, eV per atom: -4.736

---

4.
Below is crystalline Cd2SiMo at its relaxed geometry, with properties calculated at the PBEsol level.

Lattice parameters (Å, degrees): 2.7589 4.1263 7.3468 106.29 100.82 90.00
Atoms (fractional coordinates):
Cd: 0.1834 0.1836 0.3668
Si: 0.0000 0.5000 0.0000
Cd: 0.8166 0.8164 0.6332
Mo: 0.5000 0.0000 0.0000

Symmetry: Immm, No. 71
M_tot, Bohr magnetons per cell: 0.00
DFT total energy, eV per atom: -4.853
Energy relative to the elements, uncorrected, meV/atom: 124